Computed, not measured: crystalline SrMgZn2Tc at its relaxed geometry at the PBE level of DFT.

Calculated formation energy, meV per atom: 1198
Uncorrected energy, eV per atom: -2.040
Spin magnetization, μB/f.u.: 3.1
Density of states at the Fermi level, states/eV per cell: 5.55

The structure in CIF format:
```
data_SrMgZn2Tc
_chemical_formula_sum 'Sr1 Mg1 Zn2 Tc1'
_cell_length_a 4.902
_cell_length_b 4.902
_cell_length_c 5.848
_cell_angle_alpha 90.00
_cell_angle_beta 90.00
_cell_angle_gamma 90.00
_symmetry_space_group_name_H-M 'P 4/m m m'
_symmetry_Int_Tables_number 123
_symmetry_space_group_name_Hall '-P 4 2'
loop_
_atom_site_label
_atom_site_type_symbol
_atom_site_fract_x
_atom_site_fract_y
_atom_site_fract_z
Sr1 Sr 0.000 0.000 0.000
Mg1 Mg 0.000 0.000 0.500
Zn1 Zn 0.000 0.500 0.500
Tc1 Tc 0.500 0.500 0.000
```